Entry 1:
# Li4Mg4Cu3 GGA-PBE relaxed
data_Li4Mg4Cu3
_space_group_name_H-M_alt 'P 1'
_space_group_IT_number 1
_space_group_name_Hall 'P 1'
_cell_length_a 2.9002
_cell_length_b 4.5497
_cell_length_c 14.0026
_cell_angle_alpha 97.50
_cell_angle_beta 95.08
_cell_angle_gamma 90.96
loop_
_atom_site_label
_atom_site_fract_x
_atom_site_fract_y
_atom_site_fract_z
_atom_site_occupancy
Li1 0.1714 0.4474 0.4173 1
Li2 0.2410 0.8145 0.1456 1
Li3 0.7590 0.1855 0.8544 1
Li4 0.8286 0.5526 0.5827 1
Mg1 0.1630 0.0976 0.6761 1
Mg2 0.2437 0.7213 0.9340 1
Mg3 0.7563 0.2787 0.0660 1
Mg4 0.8370 0.9024 0.3239 1
Cu1 0.3743 0.3606 0.2405 1
Cu2 0.5000 0.0000 0.5000 1
Cu3 0.6257 0.6394 0.7595 1
# Symmetry: P-1, No. 2
# ΔH_f (0 K): -0.02 eV/atom

---

Entry 2:
# LaAlO2 GGA-PBE relaxed
data_LaAlO2
_space_group_name_H-M_alt 'P 1'
_space_group_IT_number 1
_space_group_name_Hall 'P 1'
_cell_length_a 6.0042
_cell_length_b 6.0042
_cell_length_c 6.0042
_cell_angle_alpha 37.27
_cell_angle_beta 37.27
_cell_angle_gamma 37.27
loop_
_atom_site_label
_atom_site_fract_x
_atom_site_fract_y
_atom_site_fract_z
_atom_site_occupancy
La1 0.0000 0.0000 0.0000 1
Al1 0.5000 0.5000 0.5000 1
O1 0.3931 0.3931 0.3931 1
O2 0.6069 0.6069 0.6069 1
# Symmetry: R-3m, No. 166
# E: -7.122 eV/atom